Entry 1:
This record from Alexandria via LeMat-Bulk describes crystalline TbHo3Tm2S6 at its relaxed geometry. The functional is PBE-GGA.

Summary:
The raw formation energy comes out at -1.97 eV/atom. The symmetry is C2/m (12).

```
TbHo3Tm2S6
1.0
3.348 -5.827 0.000
3.348 5.827 0.000
-2.239 0.000 6.330
Tb Ho Tm S
1 3 2 6
Cartesian
0.000 0.000 0.000
2.229 3.915 3.165
2.229 0.000 3.165
2.229 -3.915 3.165
3.348 1.937 0.000
3.348 -1.937 0.000
1.131 1.972 1.577
0.028 0.000 4.764
1.131 -1.972 1.577
3.327 1.972 4.753
4.429 0.000 1.566
3.327 -1.972 4.753
```

Entry 2:
This record from Alexandria via LeMat-Bulk describes crystalline Na2Ga2Au3 at its relaxed geometry. The functional is PBE-GGA.

Summary:
The calculated formation energy is -0.334 eV per atom. The relative energy among the computed polymorphs comes out at 0 meV/atom. The symmetry is C2/m (12).

```
Na2Ga2Au3
1.0
5.125 -2.263 0.000
5.125 2.263 0.000
-2.585 0.000 6.291
Na Ga Au
2 2 3
Cartesian
0.856 0.000 1.869
6.809 0.000 4.422
3.847 0.000 0.448
3.817 0.000 5.843
-0.467 0.000 4.746
3.832 0.000 3.145
8.131 0.000 1.545
```

Entry 3:
This record from Alexandria via LeMat-Bulk describes crystalline NaIn2IF at its relaxed geometry. The functional is PBE-GGA.

Summary:
The raw formation energy comes out at -0.91 eV/atom. The symmetry is P4/mmm (123).

```
NaIn2IF
1.0
5.842 0.000 0.000
0.000 5.842 0.000
0.000 0.000 4.316
Na In I F
1 2 1 1
Cartesian
0.000 0.000 0.000
0.000 2.921 2.158
2.921 0.000 2.158
2.921 2.921 0.000
0.000 0.000 2.158
```

Entry 4:
This record from Alexandria via LeMat-Bulk describes crystalline Er2NiP3Rh4 at its relaxed geometry. The functional is PBE-GGA.

Summary:
The calculated formation energy is -0.973 eV per atom. The symmetry is P-4m2 (115).

```
Er2NiP3Rh4
1.0
4.030 0.000 0.000
0.000 4.030 0.000
0.000 0.000 9.792
Er Ni P Rh
2 1 3 4
Cartesian
0.000 2.015 2.338
2.015 0.000 7.454
2.015 2.015 0.000
0.000 0.000 0.000
0.000 2.015 6.240
2.015 0.000 3.552
0.000 0.000 4.896
0.000 2.015 8.484
2.015 0.000 1.308
2.015 2.015 4.896
```

Entry 5:
This record from Alexandria via LeMat-Bulk describes crystalline Sr2CaF at its relaxed geometry. The functional is PBE-GGA.

Summary:
The raw formation energy comes out at -0.48 eV/atom. The relative energy among the computed polymorphs comes out at 853 meV/atom. The symmetry is Fm-3m (225).

```
Sr2CaF
1.0
0.000 4.397 4.397
4.397 0.000 4.397
4.397 4.397 0.000
Sr Ca F
2 1 1
Cartesian
2.198 2.198 2.198
6.595 6.595 6.595
0.000 0.000 0.000
4.397 4.397 4.397
```

Entry 6:
This record from Alexandria via LeMat-Bulk describes crystalline Nb2RePb at its relaxed geometry. The functional is PBE-GGA.

Summary:
The calculated formation energy is 0.702 eV per atom. The symmetry is I-42d (122).

```
Nb2RePb
1.0
-3.866 3.866 2.827
3.866 -3.866 2.827
3.866 3.866 -2.827
Nb Re Pb
4 2 2
Cartesian
5.799 1.498 -0.707
1.498 1.933 0.707
-1.933 2.367 2.120
2.367 1.933 3.533
0.000 0.000 0.000
0.000 3.866 1.413
3.866 0.000 1.413
0.000 0.000 2.827
```

E_tot in eV/atom, matching the order above: -6.31; -2.98; -2.95; -7.03; -2.29; -8.37
Magnetization in μB/cell, matching the order above: 0.0; 0.0; 0.0; 0.0; 0.0; 0.0